(1)
ScAg2Sb2 | PBE-GGA | relaxed

Cell: 3.9207 3.9207 15.1376 Å, 90.00 90.00 90.00°
Last column: nearest neighbours and their distance in Å.
Space group I4/mmm (No. 139)
One atom of each set of equivalent atoms:
Sc (0.0000, 0.0000, 0.0000) (multiplicity 2)  8 Sb 3.17
Ag (0.0000, 0.5000, 0.2500) (multiplicity 4)  4 Ag 2.77, 4 Sb 2.98
Sb (0.0000, 0.0000, 0.3983) (multiplicity 4)  4 Ag 2.98, 1 Sb 3.08, 4 Sc 3.17

Values from the calculation:
Raw formation energy   -0.18 eV/atom

---

(2)
AcF3 | PBE-GGA | relaxed

Cell: 3.8050 3.8050 3.8050 Å, 90.00 90.00 90.00°
Last column: nearest neighbours and their distance in Å.
Space group Pm-3m (No. 221)
One atom of each set of equivalent atoms:
Ac (0.0000, 0.0000, 0.0000) (multiplicity 1)  12 F 2.69
F (0.0000, 0.5000, 0.5000) (multiplicity 3)  4 Ac 2.69, 8 F 2.69

Values from the calculation:
Raw formation energy   -3.92 eV/atom

---

(3)
La2CePr | PBE-GGA | relaxed

Cell: 3.5988 3.5988 10.4108 Å, 90.00 90.00 90.00°
Last column: nearest neighbours and their distance in Å.
Space group P4/mmm (No. 123)
One atom of each set of equivalent atoms:
La (0.0000, 0.0000, 0.2298) (multiplicity 2)  4 Ce 3.49, 4 La 3.60, 4 Pr 3.79
Ce (0.5000, 0.5000, 0.0000) (multiplicity 1)  8 La 3.49, 4 Ce 3.60
Pr (0.5000, 0.5000, 0.5000) (multiplicity 1)  4 Pr 3.60, 8 La 3.79

Values from the calculation:
Energy of formation   0.05 eV/atom

---

(4)
TbTlZnAu | PBE-GGA | relaxed

Cell: 7.0457 7.0457 7.0457 Å, 90.00 90.00 90.00°
Last column: nearest neighbours and their distance in Å.
Space group F-43m (No. 216)
One atom of each set of equivalent atoms:
Tb (0.0000, 0.0000, 0.0000) (multiplicity 4)  4 Zn 3.05, 4 Au 3.05
Tl (0.0000, 0.0000, 0.5000) (multiplicity 4)  4 Zn 3.05, 4 Au 3.05
Zn (0.2500, 0.2500, 0.7500) (multiplicity 4)  4 Tb 3.05, 4 Tl 3.05
Au (0.2500, 0.2500, 0.2500) (multiplicity 4)  4 Tb 3.05, 4 Tl 3.05

Values from the calculation:
Energy of formation   -0.39 eV/atom

---

Number 1: DOS(E_F) 2.459 states/eV/f.u., magnetization 0.000 μB/atom. Number 2: DOS(E_F) 0.000 states/eV/f.u., magnetization 0.000 μB/atom. Number 3: DOS(E_F) 7.974 states/eV/f.u., magnetization 0.000 μB/atom. Number 4: DOS(E_F) 2.176 states/eV/f.u., magnetization 0.000 μB/atom.